MnMo2HOs: relaxed, GGA-PBE.

abc: 3.9458 3.9458 3.7971
angles: 90.00 90.00 90.00
Closest atoms and distances in Å follow each position.
Positions (direct):
H 0.0000 0.0000 0.0000  2 Mn 1.90, 4 Mo 1.97
Os 0.5000 0.5000 0.5000  8 Mo 2.74, 4 Mn 2.79
Mn 0.0000 0.0000 0.5000  2 H 1.90
Mo 0.5000 0.0000 0.0000  2 H 1.97
Mo 0.0000 0.5000 0.0000  2 H 1.97

Output
Calculated volume   59.1 Å³ per cell
Spin magnetization   0.00 μB/cell
Total DFT energy (no corrections)   -44.89 eV/cell